# 1
Density functional theory data (PBE) for a geometry-optimized PrNdBi2Sb2Pd2 structure.

a = 4.5738 Å, b = 4.5738 Å, c = 9.8855 Å
α = 90.00°, β = 90.00°, γ = 90.00°
Closest atoms and distances in Å follow each position.
Sites, in units of the cell vectors:
Pr  0.0000  0.0000  0.0000  4 Pd 3.28, 4 Sb 3.34, 4 Bi 3.48
Nd  0.5000  0.5000  0.4719  4 Pd 3.25, 4 Sb 3.34, 4 Bi 3.46
Bi  0.0000  0.5000  0.7350  4 Bi 3.23, 2 Nd 3.46, 2 Pr 3.48
Bi  0.5000  0.0000  0.7350  4 Bi 3.23, 2 Nd 3.46, 2 Pr 3.48
Sb  0.0000  0.0000  0.3887  4 Pd 2.73
Sb  0.5000  0.5000  0.0860  4 Pd 2.73
Pd  0.0000  0.5000  0.2376  4 Sb 2.73
Pd  0.5000  0.0000  0.2376  4 Sb 2.73

---

# 2
Density functional theory data (PBE) for a geometry-optimized SrHfAsO structure.

Computed properties:
* excess energy over the best structure of this formula in the dataset: 0.0 meV per atom

a = 4.2282 Å, b = 5.0676 Å, c = 7.5122 Å
α = 90.00°, β = 90.00°, γ = 90.00°
Closest atoms and distances in Å follow each position.
Sites, in units of the cell vectors:
Sr  0.0000  0.1700  0.0000  3 O 2.71-2.81
Sr  0.0000  0.8300  0.5000  3 O 2.71-2.81
Hf  0.5000  0.3346  0.3520  2 O 2.12
Hf  0.5000  0.6654  0.8520  2 O 2.12
As  0.5000  0.1711  0.6972  3 Hf 2.72-2.81
As  0.5000  0.8289  0.1972  3 Hf 2.72-2.81
O  0.0000  0.3327  0.3437  2 Hf 2.12
O  0.0000  0.6673  0.8437  2 Hf 2.12

---

# 3
Density functional theory data (PBE) for a geometry-optimized DyYFe2Ge2C structure.

a = 5.6971 Å, b = 5.6971 Å, c = 6.8205 Å
α = 125.70°, β = 125.70°, γ = 40.81°
Closest atoms and distances in Å follow each position.
Sites, in units of the cell vectors:
Dy  0.0000  0.0000  0.0000  2 C 2.58
Y  0.8852  0.8852  0.4215  2 C 2.59
Fe  0.2470  0.2470  0.6219  1 C 1.78
Fe  0.6390  0.6390  0.8011  1 C 1.78
Ge  0.2793  0.2793  0.0003  3 Fe 2.35-2.38
Ge  0.6064  0.6064  0.4220  3 Fe 2.35-2.38
C  0.4433  0.4433  0.7123  2 Fe 1.78

---

# 4
Density functional theory data (PBE) for a geometry-optimized CsPbAu3Se4 structure.

a = 6.7671 Å, b = 6.7671 Å, c = 6.7671 Å
α = 90.00°, β = 90.00°, γ = 90.00°
Closest atoms and distances in Å follow each position.
Sites, in units of the cell vectors:
Cs  0.0000  0.0000  0.0000  4 Se 3.26
Pb  0.5000  0.5000  0.5000  4 Se 2.61
Au  0.0000  0.5000  0.5000  4 Se 2.84
Au  0.5000  0.0000  0.5000  4 Se 2.84
Au  0.5000  0.5000  0.0000  4 Se 2.84
Se  0.2777  0.2777  0.2777  1 Pb 2.61, 3 Au 2.84
Se  0.2777  0.7223  0.7223  1 Pb 2.61, 3 Au 2.84
Se  0.7223  0.2777  0.7223  1 Pb 2.61, 3 Au 2.84
Se  0.7223  0.7223  0.2777  1 Pb 2.61, 3 Au 2.84

---

# 5
Density functional theory data (PBE) for a geometry-optimized Zn2FeSnPd4 structure.

a = 4.4145 Å, b = 4.4145 Å, c = 6.2316 Å
α = 90.00°, β = 90.00°, γ = 90.00°
Closest atoms and distances in Å follow each position.
Sites, in units of the cell vectors:
Zn  0.0000  0.0000  0.0000  8 Pd 2.75
Zn  0.5000  0.5000  0.5000  8 Pd 2.66
Fe  0.0000  0.0000  0.5000  8 Pd 2.66
Sn  0.5000  0.5000  0.0000  8 Pd 2.75
Pd  0.0000  0.5000  0.2630  2 Fe 2.66, 4 Zn 2.66-2.75, 2 Sn 2.75, 1 Pd 2.95
Pd  0.0000  0.5000  0.7370  2 Fe 2.66, 4 Zn 2.66-2.75, 2 Sn 2.75, 1 Pd 2.95
Pd  0.5000  0.0000  0.2630  2 Fe 2.66, 4 Zn 2.66-2.75, 2 Sn 2.75, 1 Pd 2.95
Pd  0.5000  0.0000  0.7370  2 Fe 2.66, 4 Zn 2.66-2.75, 2 Sn 2.75, 1 Pd 2.95

---

# 6
Density functional theory data (PBE) for a geometry-optimized BaZn structure.

a = 5.2696 Å, b = 5.2696 Å, c = 5.2696 Å
α = 60.00°, β = 60.00°, γ = 60.00°
Closest atoms and distances in Å follow each position.
Sites, in units of the cell vectors:
Ba  0.0000  0.0000  0.0000  4 Zn 3.23
Zn  0.7500  0.7500  0.7500  4 Ba 3.23

---

Calculated final energy (eV per atom), listed in the same order as above: -5.335, -7.065, -7.207, -3.171, -4.800, -1.299